Record 1
KAl2Se: single point on PBEsol structure, meta-GGA SCAN.

Properties
Final energy = -10.924 eV per atom

a = 4.1749 Å, b = 4.1749 Å, c = 6.1399 Å
α = 109.88°, β = 109.88°, γ = 90.00°
Sites, in units of the cell vectors:
K 0.5000 0.5000 0.0000
Al 0.7500 0.2500 0.5000
Al 0.2500 0.7500 0.5000
Se 0.0000 0.0000 0.0000

Record 2
BaLi2As: single point on PBEsol structure, meta-GGA SCAN.

Properties
Energy of formation from the pure elements = -776 meV/atom

a = 4.4511 Å, b = 4.4511 Å, c = 6.3403 Å
α = 69.45°, β = 69.45°, γ = 60.00°
Sites, in units of the cell vectors:
As 0.4396 0.4396 0.6811
Ba 0.2435 0.2435 0.2696
Li 0.0575 0.0575 0.8275
Li 0.7639 0.7639 0.7083

We obtain volume values of 93.84, 99.45 Å³/cell for the records listed above, in that order.